# 1
VASP calculation (meta-GGA SCAN) on a crystal of KBaBP2O8 relaxed with PBEsol.

Results
Uncorrected formation energy = -2797.5 meV per atom
Total magnetic moment = 0.00 μB/f.u.

a b c (Å): 7.1926 7.1926 8.7231
angles (deg): 113.26 113.26 89.93
Last column: nearest neighbours and their distance in Å.
Positions (direct):
K 0.0745 0.9255 0.5000  6 O 2.72-2.94
K 0.9255 0.0745 0.0000  6 O 2.72-2.94
Ba 0.2007 0.5793 0.0069  6 O 2.62-2.91
Ba 0.5793 0.2007 0.5069  6 O 2.62-2.91
B 0.4405 0.7121 0.7603  4 O 1.46
B 0.7121 0.4405 0.2603  4 O 1.46
P 0.0821 0.4258 0.5165  4 O 1.51-1.58
P 0.4258 0.0821 0.0165  4 O 1.51-1.58
P 0.5768 0.7212 0.5046  4 O 1.52-1.58
P 0.7212 0.5768 0.0046  4 O 1.52-1.58
O 0.2055 0.2701 0.4476  1 P 1.51
O 0.2171 0.6477 0.6569  1 B 1.46, 1 P 1.58
O 0.2701 0.2055 0.9476  1 P 1.51
O 0.3618 0.9679 0.1077  1 P 1.52
O 0.3799 0.7778 0.3947  1 P 1.52
O 0.4811 0.9358 0.8562  1 B 1.46, 1 P 1.58
O 0.5035 0.6070 0.8813  1 B 1.46, 1 P 1.58
O 0.5556 0.6518 0.6489  1 B 1.46, 1 P 1.58
O 0.6070 0.5035 0.3813  1 B 1.46, 1 P 1.58
O 0.6477 0.2171 0.1569  1 B 1.46, 1 P 1.58
O 0.6518 0.5556 0.1489  1 B 1.46, 1 P 1.58
O 0.7628 0.8899 0.5952  1 P 1.52
O 0.7778 0.3799 0.8947  1 P 1.52
O 0.8899 0.7628 0.0952  1 P 1.52
O 0.9358 0.4811 0.3562  1 B 1.46, 1 P 1.58
O 0.9679 0.3618 0.6077  1 P 1.52

# 2
VASP calculation (meta-GGA SCAN) on a crystal of CaCCl2 relaxed with PBEsol.

Results
Excess energy over the best structure of this formula in the dataset = 813.4 meV per atom
Uncorrected formation energy = 832.3 meV per atom
Total magnetic moment = 0.97 μB/f.u.

a b c (Å): 3.8681 3.8681 22.4826
angles (deg): 90.00 90.00 120.00
Last column: nearest neighbours and their distance in Å.
Positions (direct):
Ca 0.0000 0.0000 0.0000  2 Cl 2.60
Ca 0.3333 0.6667 0.6667  2 Cl 2.60
Ca 0.6667 0.3333 0.3333  2 Cl 2.60
C 0.0000 0.0000 0.5000  6 Cl 2.51
C 0.3333 0.6667 0.1667  6 Cl 2.51
C 0.6667 0.3333 0.8333  6 Cl 2.51
Cl 0.0000 0.0000 0.1155  3 C 2.51, 1 Ca 2.60
Cl 0.0000 0.0000 0.8845  3 C 2.51, 1 Ca 2.60
Cl 0.3333 0.6667 0.5512  3 C 2.51, 1 Ca 2.60
Cl 0.3333 0.6667 0.7822  3 C 2.51, 1 Ca 2.60
Cl 0.6667 0.3333 0.2178  3 C 2.51, 1 Ca 2.60
Cl 0.6667 0.3333 0.4488  3 C 2.51, 1 Ca 2.60

# 3
VASP calculation (meta-GGA SCAN) on a crystal of NiIrPt3 relaxed with PBEsol.

Results
ΔH_f (0 K) = 1.7379 eV/atom
Total magnetic moment = 0.03 μB/f.u.

a b c (Å): 4.7394 4.7394 4.7394
angles (deg): 90.00 90.00 90.00
Last column: nearest neighbours and their distance in Å.
Positions (direct):
Ni 0.0000 0.0000 0.0000  12 Pt 3.35
Ir 0.5000 0.5000 0.5000  6 Pt 2.37
Pt 0.0000 0.5000 0.5000  2 Ir 2.37
Pt 0.5000 0.0000 0.5000  2 Ir 2.37
Pt 0.5000 0.5000 0.0000  2 Ir 2.37

- Which value of total magnetic moment does entry 3 give?
  0.03 μB/f.u.

- Which of these has the highest total magnetic moment?
  CaCCl2